1.
Computed, not measured: a geometry-optimized MgCo structure at the PBE level of DFT.

abc: 2.8440 2.8440 8.8038
angles: 90.00 90.00 120.00
Site moments in Bohr magnetons follow the coordinates.
Fractional coordinates of all 4 atoms:
1 Co 0.6667 0.3333 0.2241  1.68
2 Co 0.0000 0.0000 0.0259  1.68
3 Mg 0.0000 0.0000 0.4692  -0.01
4 Mg 0.6667 0.3333 0.7808  -0.01

The value obtained for the energy of formation is 0.25 eV/atom. Its space group is P-3m1. Its volume is 61.7 Å³/cell.

=====

2.
Computed, not measured: a geometry-optimized MgCo structure at the PBE level of DFT.

abc: 2.7643 4.4462 4.7138
angles: 90.00 90.00 90.00
Site moments in Bohr magnetons follow the coordinates.
Fractional coordinates of all 4 atoms:
1 Co 0.0000 0.0000 0.9972  1.38
2 Co 0.5000 0.5000 0.8362  1.38
3 Mg 0.5000 0.0000 0.5255  -0.02
4 Mg 0.0000 0.5000 0.3078  -0.02

The value obtained for the energy of formation is 0.28 eV/atom. Its space group is Pmmn. Its volume is 57.9 Å³/cell.

=====

Look up the volume of the first one. 61.7 Å³/cell